A relaxed structure of CsRb2CoO4. Source: Alexandria, functional PBE+U.

Calculated values
Calculated volume in Å³/atom: 22.2
Total magnetic moment in μB/cell: 3.9
VASP energy in eV per atom: -4.592

Cell lengths 6.1677, 6.1677, 6.1677 Å; angles 114.02, 114.02, 100.71 degrees
Fractional coordinates of all 8 atoms:
Cs 0.0000 0.0000 0.0000
Rb 0.2500 0.7500 0.5000
Rb 0.7500 0.2500 0.5000
Co 0.5000 0.5000 0.0000
O 0.2334 0.2334 0.6752
O 0.4418 0.7666 0.0000
O 0.5582 0.5582 0.3248
O 0.7666 0.4418 0.0000